# 1
## CdOs3F (PBE)

Data for an optimized crystal structure of CdOs3F.

POSCAR file:
```
CdOs3F
1.0
5.0074 0.0000 0.0000
0.0000 5.0074 0.0000
0.0000 0.0000 5.0074
Cd Os F
1 3 1
Direct
0.0000 0.0000 0.0000 Cd
0.0000 0.0000 0.5000 Os
0.0000 0.5000 0.0000 Os
0.5000 0.0000 0.0000 Os
0.5000 0.5000 0.5000 F
```

Calculated values
The value obtained for the energy above the most stable polymorph in this dataset is 1499 meV/atom. The space group is Pm-3m. The value obtained for the magnetic moment is 8.26 μB/f.u. The formation energy without anion corrections comes out at 15.86 eV per formula unit. Its energy is -4.12 eV per atom.

# 2
## CdOsF3 (PBE)

Data for an optimized crystal structure of CdOsF3.

POSCAR file:
```
CdOsF3
1.0
4.4529 0.0000 0.0000
0.0000 4.4529 0.0000
0.0000 0.0000 4.4529
Cd Os F
1 1 3
Direct
0.0000 0.0000 0.0000 Cd
0.5000 0.5000 0.5000 Os
0.0000 0.0000 0.5000 F
0.0000 0.5000 0.0000 F
0.5000 0.0000 0.0000 F
```

Calculated values
The value obtained for the energy above the most stable polymorph in this dataset is 290 meV/atom. The space group is Pm-3m. The value obtained for the magnetic moment is 5.00 μB/f.u. The formation energy without anion corrections comes out at -1.47 eV per formula unit. Its energy is -3.85 eV per atom.

# 3
## Cd3OsF (PBE)

Data for an optimized crystal structure of Cd3OsF.

POSCAR file:
```
Cd3OsF
1.0
5.2611 0.0000 0.0000
0.0000 5.2611 0.0000
0.0000 0.0000 5.2611
Cd Os F
3 1 1
Direct
0.0000 0.0000 0.5000 Cd
0.0000 0.5000 0.0000 Cd
0.5000 0.0000 0.0000 Cd
0.0000 0.0000 0.0000 Os
0.5000 0.5000 0.5000 F
```

Calculated values
The value obtained for the energy above the most stable polymorph in this dataset is 281 meV/atom. The space group is Pm-3m. The value obtained for the magnetic moment is 1.31 μB/f.u. The formation energy without anion corrections comes out at 2.67 eV per formula unit. Its energy is -2.63 eV per atom.

# 4
## CdOsF2 (PBE)

Data for an optimized crystal structure of CdOsF2.

POSCAR file:
```
CdOsF2
1.0
0.0000 3.0776 3.0776
3.0776 0.0000 3.0776
3.0776 3.0776 0.0000
Cd Os F
1 1 2
Direct
0.0000 0.0000 0.0000 Cd
0.5000 0.5000 0.5000 Os
0.2500 0.2500 0.2500 F
0.7500 0.7500 0.7500 F
```

Calculated values
The value obtained for the energy above the most stable polymorph in this dataset is 953 meV/atom. The space group is Fm-3m. The value obtained for the magnetic moment is 2.95 μB/f.u. The formation energy without anion corrections comes out at 0.41 eV per formula unit. Its energy is -3.87 eV per atom.